The following is a PBE-GGA calculation of CoP2Se after structural relaxation, from Alexandria.

a = 3.077 Å, b = 3.077 Å, c = 6.896 Å
α = 90.00°, β = 90.00°, γ = 90.00°
Positions (direct):
Co1 0.000 0.000 0.000
P1 0.000 0.000 0.335
P2 0.500 0.500 0.184
Se1 0.500 0.500 0.795

Properties
DOS(E_F): 2.84 states/eV/cell
ΔE_f (raw): 0.227 eV per atom
size of the total moment: 0.42 μB/cell